--- a ---
{
  "formula": "ReTeHN2",
  "functional": "GGA-PBE",
  "state": "optimized geometry",
  "volume_a3_per_cell": 54.3,
  "sg": "No. 123",
  "n_ef_per_ev_cell": 3.92,
  "lattice": [[4.077, 0.000, 0.000], [0.000, 4.077, 0.000], [0.000, 0.000, 3.265]],
  "species": ["Re", "Te", "H", "N", "N"],
  "fractional_positions": [[0.000, 0.000, 0.000], [0.500, 0.500, 0.000], [0.500, 0.500, 0.500], [0.000, 0.500, 0.500], [0.500, 0.000, 0.500]]
}

---

--- b ---
{
  "formula": "ReTeHN2",
  "functional": "GGA-PBE",
  "state": "optimized geometry",
  "volume_a3_per_cell": 81.6,
  "sg": "No. 123",
  "n_ef_per_ev_cell": 2.37,
  "lattice": [[3.783, 0.000, 0.000], [0.000, 3.783, 0.000], [0.000, 0.000, 5.704]],
  "species": ["Re", "Te", "H", "N", "N"],
  "fractional_positions": [[0.000, 0.000, 0.000], [0.000, 0.000, 0.500], [0.500, 0.500, 0.500], [0.000, 0.500, 0.000], [0.500, 0.000, 0.000]]
}

---

Energies, relative to the best one, in eV/atom: a 1.422; b 0.000.

---

--- a ---
{
  "formula": "H3RhN",
  "functional": "GGA-PBE",
  "state": "optimized geometry",
  "volume_a3_per_cell": 37.6,
  "sg": "No. 221",
  "n_ef_per_ev_cell": 1.78,
  "lattice": [[3.351, 0.000, 0.000], [0.000, 3.351, 0.000], [0.000, 0.000, 3.351]],
  "species": ["H", "H", "H", "Rh", "N"],
  "fractional_positions": [[0.000, 0.000, 0.500], [0.000, 0.500, 0.000], [0.500, 0.000, 0.000], [0.000, 0.000, 0.000], [0.500, 0.500, 0.500]]
}

---

--- b ---
{
  "formula": "H3RhN",
  "functional": "GGA-PBE",
  "state": "optimized geometry",
  "volume_a3_per_cell": 31.0,
  "sg": "No. 221",
  "n_ef_per_ev_cell": 2.23,
  "lattice": [[3.141, 0.000, 0.000], [0.000, 3.141, 0.000], [0.000, 0.000, 3.141]],
  "species": ["H", "H", "H", "Rh", "N"],
  "fractional_positions": [[0.000, 0.000, 0.500], [0.000, 0.500, 0.000], [0.500, 0.000, 0.000], [0.500, 0.500, 0.500], [0.000, 0.000, 0.000]]
}

---

Energies, relative to the best one, in eV/atom: a 0.084; b 0.000.

---

--- a ---
{
  "formula": "TeHRhN2",
  "functional": "GGA-PBE",
  "state": "optimized geometry",
  "volume_a3_per_cell": 80.7,
  "sg": "No. 123",
  "n_ef_per_ev_cell": 2.87,
  "lattice": [[3.731, 0.000, 0.000], [0.000, 3.731, 0.000], [0.000, 0.000, 5.794]],
  "species": ["Te", "H", "Rh", "N", "N"],
  "fractional_positions": [[0.000, 0.000, 0.000], [0.500, 0.500, 0.000], [0.000, 0.000, 0.500], [0.000, 0.500, 0.500], [0.500, 0.000, 0.500]]
}

---

--- b ---
{
  "formula": "TeHRhN2",
  "functional": "GGA-PBE",
  "state": "optimized geometry",
  "volume_a3_per_cell": 55.3,
  "sg": "No. 123",
  "n_ef_per_ev_cell": 2.62,
  "lattice": [[3.923, 0.000, 0.000], [0.000, 3.923, 0.000], [0.000, 0.000, 3.593]],
  "species": ["Te", "H", "Rh", "N", "N"],
  "fractional_positions": [[0.000, 0.000, 0.000], [0.000, 0.000, 0.500], [0.500, 0.500, 0.000], [0.000, 0.500, 0.500], [0.500, 0.000, 0.500]]
}

---

Energies, relative to the best one, in eV/atom: a 0.000; b 0.577.

---

--- a ---
{
  "formula": "H2RuN",
  "functional": "GGA-PBE",
  "state": "optimized geometry",
  "volume_a3_per_cell": 54.7,
  "sg": "No. 141",
  "n_ef_per_ev_cell": 6.72,
  "lattice": [[-2.179, 2.179, 2.881], [2.179, -2.179, 2.881], [2.179, 2.179, -2.881]],
  "species": ["H", "H", "H", "H", "Ru", "Ru", "N", "N"],
  "fractional_positions": [[0.000, 0.000, 0.000], [0.000, 0.000, 0.500], [0.000, 0.500, 0.000], [0.500, 0.000, 0.500], [0.375, 0.625, 0.750], [0.625, 0.375, 0.250], [0.125, 0.875, 0.250], [0.875, 0.125, 0.750]]
}

---

--- b ---
{
  "formula": "H2RuN",
  "functional": "GGA-PBE",
  "state": "optimized geometry",
  "volume_a3_per_cell": 25.9,
  "sg": "No. 225",
  "n_ef_per_ev_cell": 2.55,
  "lattice": [[0.000, 2.348, 2.348], [2.348, 0.000, 2.348], [2.348, 2.348, 0.000]],
  "species": ["H", "H", "Ru", "N"],
  "fractional_positions": [[0.250, 0.250, 0.250], [0.750, 0.750, 0.750], [0.000, 0.000, 0.000], [0.500, 0.500, 0.500]]
}

---

Energies, relative to the best one, in eV/atom: a 0.000; b 0.382.

---

--- a ---
{
  "formula": "H3RuN",
  "functional": "GGA-PBE",
  "state": "optimized geometry",
  "volume_a3_per_cell": 36.4,
  "sg": "No. 221",
  "n_ef_per_ev_cell": 1.90,
  "lattice": [[3.314, 0.000, 0.000], [0.000, 3.314, 0.000], [0.000, 0.000, 3.314]],
  "species": ["H", "H", "H", "Ru", "N"],
  "fractional_positions": [[0.000, 0.000, 0.500], [0.000, 0.500, 0.000], [0.500, 0.000, 0.000], [0.000, 0.000, 0.000], [0.500, 0.500, 0.500]]
}

---

--- b ---
{
  "formula": "H3RuN",
  "functional": "GGA-PBE",
  "state": "optimized geometry",
  "volume_a3_per_cell": 30.9,
  "sg": "No. 221",
  "n_ef_per_ev_cell": 1.71,
  "lattice": [[3.137, 0.000, 0.000], [0.000, 3.137, 0.000], [0.000, 0.000, 3.137]],
  "species": ["H", "H", "H", "Ru", "N"],
  "fractional_positions": [[0.000, 0.000, 0.500], [0.000, 0.500, 0.000], [0.500, 0.000, 0.000], [0.500, 0.500, 0.500], [0.000, 0.000, 0.000]]
}

---

Energies, relative to the best one, in eV/atom: a 0.043; b 0.000.

---

--- a ---
{
  "formula": "HRuN2",
  "functional": "GGA-PBE",
  "state": "optimized geometry",
  "volume_a3_per_cell": 76.3,
  "sg": "No. 122",
  "n_ef_per_ev_cell": 3.69,
  "lattice": [[-2.119, 2.119, 4.250], [2.119, -2.119, 4.250], [2.119, 2.119, -4.250]],
  "species": ["H", "H", "Ru", "Ru", "N", "N", "N", "N"],
  "fractional_positions": [[0.000, 0.000, 0.000], [0.750, 0.250, 0.500], [0.250, 0.750, 0.500], [0.500, 0.500, 0.000], [0.103, 0.625, 0.978], [0.375, 0.353, 0.478], [0.647, 0.125, 0.022], [0.875, 0.897, 0.522]]
}

---

--- b ---
{
  "formula": "HRuN2",
  "functional": "GGA-PBE",
  "state": "optimized geometry",
  "volume_a3_per_cell": 36.5,
  "sg": "No. 166",
  "n_ef_per_ev_cell": 3.73,
  "lattice": [[1.487, 0.859, 4.757], [-1.487, 0.859, 4.757], [0.000, -1.718, 4.757]],
  "species": ["H", "Ru", "N", "N"],
  "fractional_positions": [[0.000, 0.000, 0.000], [0.500, 0.500, 0.500], [0.089, 0.089, 0.089], [0.911, 0.911, 0.911]]
}

---

--- c ---
{
  "formula": "HRuN2",
  "functional": "GGA-PBE",
  "state": "optimized geometry",
  "volume_a3_per_cell": 33.9,
  "sg": "No. 166",
  "n_ef_per_ev_cell": 2.89,
  "lattice": [[1.394, 0.805, 5.031], [-1.394, 0.805, 5.031], [0.000, -1.609, 5.031]],
  "species": ["H", "Ru", "N", "N"],
  "fractional_positions": [[0.000, 0.000, 0.000], [0.500, 0.500, 0.500], [0.376, 0.376, 0.376], [0.624, 0.624, 0.624]]
}

---

--- d ---
{
  "formula": "HRuN2",
  "functional": "GGA-PBE",
  "state": "optimized geometry",
  "volume_a3_per_cell": 30.2,
  "sg": "No. 225",
  "n_ef_per_ev_cell": 4.91,
  "lattice": [[0.000, 2.472, 2.472], [2.472, 0.000, 2.472], [2.472, 2.472, 0.000]],
  "species": ["H", "Ru", "N", "N"],
  "fractional_positions": [[0.000, 0.000, 0.000], [0.500, 0.500, 0.500], [0.250, 0.250, 0.250], [0.750, 0.750, 0.750]]
}

---

Energies, relative to the best one, in eV/atom: a 0.436; b 0.000; c 1.177; d 0.921.

---

--- a ---
{
  "formula": "HRuN",
  "functional": "GGA-PBE",
  "state": "optimized geometry",
  "volume_a3_per_cell": 57.6,
  "sg": "No. 11",
  "n_ef_per_ev_cell": 2.04,
  "lattice": [[3.534, 0.000, 0.000], [0.000, 3.923, 0.000], [-0.007, 0.000, 4.156]],
  "species": ["H", "H", "Ru", "Ru", "N", "N"],
  "fractional_positions": [[0.001, 0.250, 0.282], [0.999, 0.750, 0.718], [0.499, 0.250, 0.282], [0.501, 0.750, 0.718], [0.500, 0.250, 0.801], [0.500, 0.750, 0.199]]
}

---

--- b ---
{
  "formula": "HRuN",
  "functional": "GGA-PBE",
  "state": "optimized geometry",
  "volume_a3_per_cell": 25.0,
  "sg": "No. 107",
  "n_ef_per_ev_cell": 0.87,
  "lattice": [[-1.397, 1.397, 3.208], [1.397, -1.397, 3.208], [1.397, 1.397, -3.208]],
  "species": ["H", "Ru", "N"],
  "fractional_positions": [[0.000, 0.000, 0.000], [0.246, 0.246, 0.000], [0.638, 0.638, 0.000]]
}

---

--- c ---
{
  "formula": "HRuN",
  "functional": "GGA-PBE",
  "state": "optimized geometry",
  "volume_a3_per_cell": 61.2,
  "sg": "No. 129",
  "n_ef_per_ev_cell": 0.48,
  "lattice": [[3.728, 0.000, 0.000], [0.000, 3.728, 0.000], [0.000, 0.000, 4.402]],
  "species": ["H", "H", "Ru", "Ru", "N", "N"],
  "fractional_positions": [[0.250, 0.250, 0.050], [0.750, 0.750, 0.950], [0.250, 0.750, 0.500], [0.750, 0.250, 0.500], [0.250, 0.250, 0.285], [0.750, 0.750, 0.715]]
}

---

Energies, relative to the best one, in eV/atom: a 0.177; b 0.454; c 0.000.

---

--- a ---
{
  "formula": "HRuSeN2",
  "functional": "GGA-PBE",
  "state": "optimized geometry",
  "volume_a3_per_cell": 48.2,
  "sg": "No. 123",
  "n_ef_per_ev_cell": 3.82,
  "lattice": [[3.910, 0.000, 0.000], [0.000, 3.910, 0.000], [0.000, 0.000, 3.153]],
  "species": ["H", "Ru", "Se", "N", "N"],
  "fractional_positions": [[0.000, 0.000, 0.000], [0.500, 0.500, 0.500], [0.000, 0.000, 0.500], [0.000, 0.500, 0.000], [0.500, 0.000, 0.000]]
}

---

--- b ---
{
  "formula": "HRuSeN2",
  "functional": "GGA-PBE",
  "state": "optimized geometry",
  "volume_a3_per_cell": 74.3,
  "sg": "No. 123",
  "n_ef_per_ev_cell": 2.44,
  "lattice": [[3.706, 0.000, 0.000], [0.000, 3.706, 0.000], [0.000, 0.000, 5.413]],
  "species": ["H", "Ru", "Se", "N", "N"],
  "fractional_positions": [[0.000, 0.000, 0.000], [0.500, 0.500, 0.500], [0.500, 0.500, 0.000], [0.000, 0.500, 0.500], [0.500, 0.000, 0.500]]
}

---

Energies, relative to the best one, in eV/atom: a 0.786; b 0.000.